1.
# PBEsol ReRu2, relaxed
data_ReRu2
_space_group_name_H-M_alt 'I 4/m m m'
_space_group_IT_number 139
_space_group_name_Hall '-I 4 2'
_cell_length_a 2.695
_cell_length_b 2.695
_cell_length_c 11.372
_cell_angle_alpha 90.00
_cell_angle_beta 90.00
_cell_angle_gamma 90.00
loop_
_atom_site_label
_atom_site_type_symbol
_atom_site_fract_x
_atom_site_fract_y
_atom_site_fract_z
Re1 Re 0.000 0.000 0.000
Ru1 Ru 0.000 0.000 0.333
# V: 13.77 A^3/atom
# Calculated formation energy: 0.075 eV/atom
# Energy above the lowest structure with this stoichiometry: 152 meV/atom
# DOS at the Fermi energy: 3.61 states/eV/f.u.
# Total energy: -0.40977 Ha/atom

---

2.
# PBEsol Re3Ru, relaxed
data_Re3Ru
_space_group_name_H-M_alt 'P m m n'
_space_group_IT_number 59
_cell_length_a 5.468
_cell_length_b 13.230
_cell_length_c 4.732
_cell_angle_alpha 90.00
_cell_angle_beta 90.00
_cell_angle_gamma 90.00
loop_
_space_group_symop_operation_xyz
'x,y,z'
'-x,-y,-z'
'-x+1/2,-y+1/2,z'
'x+1/2,y+1/2,-z'
'x+1/2,-y,-z'
'-x+1/2,y,z'
'-x,y+1/2,-z'
'x,-y+1/2,z'
loop_
_atom_site_label
_atom_site_type_symbol
_atom_site_fract_x
_atom_site_fract_y
_atom_site_fract_z
Re1 Re 0.000 0.084 0.164
Re2 Re 0.000 0.250 0.499
Re3 Re 0.250 0.085 0.667
Re4 Re 0.250 0.750 0.996
Ru1 Ru 0.250 0.250 0.001
Ru2 Ru 0.250 0.583 0.334
# V: 14.26 A^3/atom
# Calculated formation energy: -0.002 eV/atom
# DOS at the Fermi energy: 3.48 states/eV/f.u.
# Total energy: -0.46099 Ha/atom

---

3.
# PBEsol Re3Ru, relaxed
data_Re3Ru
_space_group_name_H-M_alt 'P 63/m m c'
_space_group_IT_number 194
_space_group_name_Hall '-P 6c 2c'
_cell_length_a 5.4853
_cell_length_b 5.4853
_cell_length_c 4.3819
_cell_angle_alpha 90.00
_cell_angle_beta 90.00
_cell_angle_gamma 120.00
loop_
_atom_site_label
_atom_site_type_symbol
_atom_site_fract_x
_atom_site_fract_y
_atom_site_fract_z
Re1 Re 0.1653 0.3306 0.2500
Ru1 Ru 0.3333 0.6667 0.7500
# V: 14.27 A^3/atom
# Calculated formation energy: -0.056 eV/atom
# DOS at the Fermi energy: 2.95 states/eV/f.u.
# Total energy: -0.46296 Ha/atom

---

4.
# PBEsol ReRu5, relaxed
data_ReRu5
_space_group_name_H-M_alt 'C 1 m 1'
_space_group_IT_number 8
_cell_length_a 9.732
_cell_length_b 2.705
_cell_length_c 6.332
_cell_angle_alpha 90.00
_cell_angle_beta 103.66
_cell_angle_gamma 90.00
loop_
_space_group_symop_operation_xyz
'x,y,z'
'x,-y,z'
'x+1/2,y+1/2,z'
'x+1/2,-y+1/2,z'
loop_
_atom_site_label
_atom_site_type_symbol
_atom_site_fract_x
_atom_site_fract_y
_atom_site_fract_z
Re1 Re 0.000 0.000 0.000
Ru1 Ru 0.055 0.000 0.612
Ru2 Ru 0.167 0.500 0.335
Ru3 Ru 0.222 0.500 0.946
Ru4 Ru 0.333 0.000 0.668
Ru5 Ru 0.389 0.000 0.279
# V: 13.50 A^3/atom
# Calculated formation energy: -0.035 eV/atom
# Energy above the lowest structure with this stoichiometry: 2 meV/atom
# DOS at the Fermi energy: 4.69 states/eV/f.u.
# Total energy: -0.39445 Ha/atom

---

5.
# PBEsol ReRu5, relaxed
data_ReRu5
_space_group_name_H-M_alt 'A m m 2'
_space_group_IT_number 38
_cell_length_a 4.269
_cell_length_b 2.702
_cell_length_c 14.026
_cell_angle_alpha 90.00
_cell_angle_beta 90.00
_cell_angle_gamma 90.00
loop_
_space_group_symop_operation_xyz
'x,y,z'
'-x,-y,z'
'-x,y,z'
'x,-y,z'
'x,y+1/2,z+1/2'
'-x,-y+1/2,z+1/2'
'-x,y+1/2,z+1/2'
'x,-y+1/2,z+1/2'
loop_
_atom_site_label
_atom_site_type_symbol
_atom_site_fract_x
_atom_site_fract_y
_atom_site_fract_z
Re1 Re 0.000 0.000 0.000
Ru1 Ru 0.000 0.000 0.334
Ru2 Ru 0.000 0.000 0.669
Ru3 Ru 0.500 0.000 0.223
Ru4 Ru 0.500 0.000 0.557
Ru5 Ru 0.500 0.000 0.890
# V: 13.48 A^3/atom
# Calculated formation energy: -0.037 eV/atom
# Energy above the lowest structure with this stoichiometry: 0 meV/atom
# DOS at the Fermi energy: 4.47 states/eV/f.u.
# Total energy: -0.39454 Ha/atom

---

6.
# PBEsol ReRu2, relaxed
data_ReRu2
_space_group_name_H-M_alt 'C 1 2/m 1'
_space_group_IT_number 12
_cell_length_a 9.793
_cell_length_b 2.715
_cell_length_c 6.366
_cell_angle_alpha 90.00
_cell_angle_beta 103.70
_cell_angle_gamma 90.00
loop_
_space_group_symop_operation_xyz
'x,y,z'
'-x,-y,-z'
'-x,y,-z'
'x,-y,z'
'x+1/2,y+1/2,z'
'-x+1/2,-y+1/2,-z'
'-x+1/2,y+1/2,-z'
'x+1/2,-y+1/2,z'
loop_
_atom_site_label
_atom_site_type_symbol
_atom_site_fract_x
_atom_site_fract_y
_atom_site_fract_z
Re1 Re 0.028 0.000 0.305
Ru1 Ru 0.140 0.500 0.027
Ru2 Ru 0.195 0.500 0.638
# V: 13.70 A^3/atom
# Calculated formation energy: -0.057 eV/atom
# Energy above the lowest structure with this stoichiometry: 19 meV/atom
# DOS at the Fermi energy: 2.23 states/eV/f.u.
# Total energy: -0.41463 Ha/atom

---

7.
# PBEsol ReRu2, relaxed
data_ReRu2
_space_group_name_H-M_alt 'P n m a'
_space_group_IT_number 62
_cell_length_a 4.700
_cell_length_b 4.286
_cell_length_c 8.154
_cell_angle_alpha 90.00
_cell_angle_beta 90.00
_cell_angle_gamma 90.00
loop_
_space_group_symop_operation_xyz
'x,y,z'
'-x,-y,-z'
'-x+1/2,-y,z+1/2'
'x+1/2,y,-z+1/2'
'x+1/2,-y+1/2,-z+1/2'
'-x+1/2,y+1/2,z+1/2'
'-x,y+1/2,-z'
'x,-y+1/2,z'
loop_
_atom_site_label
_atom_site_type_symbol
_atom_site_fract_x
_atom_site_fract_y
_atom_site_fract_z
Re1 Re 0.170 0.250 0.164
Ru1 Ru 0.165 0.250 0.832
Ru2 Ru 0.167 0.250 0.499
# V: 13.69 A^3/atom
# Calculated formation energy: -0.076 eV/atom
# Energy above the lowest structure with this stoichiometry: 0 meV/atom
# DOS at the Fermi energy: 2.20 states/eV/f.u.
# Total energy: -0.41534 Ha/atom

---

8.
# PBEsol Re3Ru, relaxed
data_Re3Ru
_space_group_name_H-M_alt 'P m m 2'
_space_group_IT_number 25
_cell_length_a 2.740
_cell_length_b 4.385
_cell_length_c 4.754
_cell_angle_alpha 90.00
_cell_angle_beta 90.00
_cell_angle_gamma 90.00
loop_
_space_group_symop_operation_xyz
'x,y,z'
'-x,-y,z'
'-x,y,z'
'x,-y,z'
loop_
_atom_site_label
_atom_site_type_symbol
_atom_site_fract_x
_atom_site_fract_y
_atom_site_fract_z
Re1 Re 0.000 0.000 0.000
Re2 Re 0.000 0.500 0.332
Re3 Re 0.500 0.000 0.502
Ru1 Ru 0.500 0.500 0.839
# V: 14.28 A^3/atom
# Calculated formation energy: -0.053 eV/atom
# DOS at the Fermi energy: 2.82 states/eV/f.u.
# Total energy: -0.46288 Ha/atom